Version w
Entry from Alexandria: crystalline HfInAg3 at its relaxed geometry (PBE-GGA).

Space group: Pm-3m (221)

Cell: 5.0013 5.0013 5.0013 Å, 90.00 90.00 90.00°
Last column: nearest neighbours and their distance in Å.
Fractional coordinates of all 5 atoms:
Ag: 0.0000 0.5000 0.0000  2 In 2.50
Hf: 0.5000 0.5000 0.5000  12 Ag 3.54
Ag: 0.0000 0.0000 0.5000  2 In 2.50
Ag: 0.5000 0.0000 0.0000  2 In 2.50
In: 0.0000 0.0000 0.0000  6 Ag 2.50


Version x
Entry from Alexandria: crystalline HfInAg3 at its relaxed geometry (PBE-GGA).

Space group: Pm-3m (221)

Cell: 5.3285 5.3285 5.3285 Å, 90.00 90.00 90.00°
Last column: nearest neighbours and their distance in Å.
Fractional coordinates of all 5 atoms:
In: 0.5000 0.5000 0.5000  12 Ag 3.77
Ag: 0.5000 0.0000 0.0000  2 Hf 2.66
Ag: 0.0000 0.5000 0.0000  2 Hf 2.66
Hf: 0.0000 0.0000 0.0000  6 Ag 2.66
Ag: 0.0000 0.0000 0.5000  2 Hf 2.66


Stability summary: most stable version w, least stable version x.


Version w
Entry from Alexandria: crystalline HfZr2AgIr at its relaxed geometry (PBE-GGA).

Space group: P4/mmm (123)

Cell: 5.0156 5.0156 4.9540 Å, 90.00 90.00 90.00°
Last column: nearest neighbours and their distance in Å.
Fractional coordinates of all 5 atoms:
Hf: 0.0000 0.0000 0.5000  2 Ag 2.48
Zr: 0.0000 0.5000 0.0000  2 Ag 2.51
Zr: 0.5000 0.0000 0.0000  2 Ag 2.51
Ir: 0.5000 0.5000 0.5000  8 Zr 3.52, 4 Hf 3.55
Ag: 0.0000 0.0000 0.0000  2 Hf 2.48, 4 Zr 2.51


Version x
Entry from Alexandria: crystalline HfZr2AgIr at its relaxed geometry (PBE-GGA).

Space group: P4/mmm (123)

Cell: 4.9766 4.9023 4.9766 Å, 90.00 90.00 90.00°
Last column: nearest neighbours and their distance in Å.
Fractional coordinates of all 5 atoms:
Ag: 0.0000 0.0000 0.0000  2 Ir 2.45, 4 Zr 2.49
Ir: 0.0000 0.5000 0.0000  2 Ag 2.45
Zr: 0.0000 0.0000 0.5000  2 Ag 2.49
Hf: 0.5000 0.5000 0.5000  8 Zr 3.49, 4 Ir 3.52
Zr: 0.5000 0.0000 0.0000  2 Ag 2.49


Stability summary: most stable version x, least stable version w.


Version w
Entry from Alexandria: crystalline K3HfAg at its relaxed geometry (PBE-GGA).

Space group: Pm-3m (221)

Cell: 6.3250 6.3250 6.3250 Å, 90.00 90.00 90.00°
Last column: nearest neighbours and their distance in Å.
Fractional coordinates of all 5 atoms:
Ag: 0.0000 0.0000 0.0000  6 K 3.16
Hf: 0.5000 0.5000 0.5000  12 K 4.47
K: 0.0000 0.5000 0.0000  2 Ag 3.16
K: 0.5000 0.0000 0.0000  2 Ag 3.16
K: 0.0000 0.0000 0.5000  2 Ag 3.16


Version x
Entry from Alexandria: crystalline K3HfAg at its relaxed geometry (PBE-GGA).

Space group: Pm-3m (221)

Cell: 6.6954 6.6954 6.6954 Å, 90.00 90.00 90.00°
Last column: nearest neighbours and their distance in Å.
Fractional coordinates of all 5 atoms:
Ag: 0.5000 0.5000 0.5000  12 K 4.73
Hf: 0.0000 0.0000 0.0000  6 K 3.35
K: 0.5000 0.0000 0.0000  2 Hf 3.35
K: 0.0000 0.5000 0.0000  2 Hf 3.35
K: 0.0000 0.0000 0.5000  2 Hf 3.35


Stability summary: most stable version w, least stable version x.


Version w
Entry from Alexandria: crystalline KHf2Ag at its relaxed geometry (PBE-GGA).

Space group: I-42d (122)

Cell: 4.1976 4.1976 12.1298 Å, 80.04 80.04 90.00°
Last column: nearest neighbours and their distance in Å.
Fractional coordinates of all 8 atoms:
K: 0.2500 0.7500 0.5000  4 Ag 2.97, 4 Hf 3.31
K: 0.5000 0.5000 0.0000  4 Ag 2.97, 4 Hf 3.31
Hf: 0.8750 0.8895 0.7500  4 Hf 2.88-3.06
Hf: 0.3750 0.3605 0.7500  4 Hf 2.88-3.06
Ag: 0.7500 0.2500 0.5000  4 K 2.97, 4 Hf 3.27
Hf: 0.1105 0.6250 0.2500  4 Hf 2.88-3.06
Ag: 0.0000 0.0000 0.0000  4 K 2.97, 4 Hf 3.27
Hf: 0.6395 0.1250 0.2500  4 Hf 2.88-3.06


Version x
Entry from Alexandria: crystalline KHf2Ag at its relaxed geometry (PBE-GGA).

Space group: Fm-3m (225)

Cell: 5.0370 5.0370 5.0370 Å, 60.00 60.00 60.00°
Last column: nearest neighbours and their distance in Å.
Fractional coordinates of all 4 atoms:
Hf: 0.2500 0.2500 0.2500  4 Ag 3.08, 4 K 3.08
Ag: 0.5000 0.5000 0.5000  8 Hf 3.08
Hf: 0.7500 0.7500 0.7500  4 Ag 3.08, 4 K 3.08
K: 0.0000 0.0000 0.0000  8 Hf 3.08


Stability summary: most stable version w, least stable version x.


Version w
Entry from Alexandria: crystalline KHfAg3 at its relaxed geometry (PBE-GGA).

Space group: Pm-3m (221)

Cell: 5.1543 5.1543 5.1543 Å, 90.00 90.00 90.00°
Last column: nearest neighbours and their distance in Å.
Fractional coordinates of all 5 atoms:
Hf: 0.5000 0.5000 0.5000  12 Ag 3.64
Ag: 0.0000 0.0000 0.5000  2 K 2.58
Ag: 0.5000 0.0000 0.0000  2 K 2.58
K: 0.0000 0.0000 0.0000  6 Ag 2.58
Ag: 0.0000 0.5000 0.0000  2 K 2.58


Version x
Entry from Alexandria: crystalline KHfAg3 at its relaxed geometry (PBE-GGA).

Space group: Pm-3m (221)

Cell: 5.4275 5.4275 5.4275 Å, 90.00 90.00 90.00°
Last column: nearest neighbours and their distance in Å.
Fractional coordinates of all 5 atoms:
Hf: 0.0000 0.0000 0.0000  6 Ag 2.71
Ag: 0.0000 0.5000 0.0000  2 Hf 2.71
Ag: 0.5000 0.0000 0.0000  2 Hf 2.71
K: 0.5000 0.5000 0.5000  12 Ag 3.84
Ag: 0.0000 0.0000 0.5000  2 Hf 2.71


Stability summary: most stable version x, least stable version w.


Version w
Entry from Alexandria: crystalline LiHfAg at its relaxed geometry (PBE-GGA).

Space group: P4/nmm (129)

Cell: 3.1945 3.1945 10.9982 Å, 90.00 90.00 90.00°
Last column: nearest neighbours and their distance in Å.
Fractional coordinates of all 6 atoms:
Ag: 0.5000 0.0000 0.7225  4 Li 2.73, 4 Hf 3.04
Li: 0.5000 0.0000 0.4171  4 Ag 2.73, 4 Li 2.90
Li: 0.0000 0.5000 0.5829  4 Ag 2.73, 4 Li 2.90
Ag: 0.0000 0.5000 0.2775  4 Li 2.73, 4 Hf 3.04
Hf: 0.0000 0.5000 0.9071  4 Ag 3.04, 8 Hf 3.05-3.19
Hf: 0.5000 0.0000 0.0929  4 Ag 3.04, 8 Hf 3.05-3.19


Version x
Entry from Alexandria: crystalline LiHfAg at its relaxed geometry (PBE-GGA).

Space group: R-3m (166)

Cell: 3.0863 3.0863 15.2575 Å, 84.20 84.20 60.00°
Last column: nearest neighbours and their distance in Å.
Fractional coordinates of all 6 atoms:
Hf: 0.1397 0.1397 0.5809  3 Ag 3.03, 9 Hf 3.03-3.09
Ag: 0.2475 0.2475 0.2576  1 Li 2.65
Li: 0.3059 0.3059 0.0824  1 Ag 2.65
Ag: 0.7525 0.7525 0.7424  1 Li 2.65
Hf: 0.8603 0.8603 0.4191  3 Ag 3.03, 9 Hf 3.03-3.09
Li: 0.6941 0.6941 0.9176  1 Ag 2.65


Stability summary: most stable version w, least stable version x.


Version w
Entry from Alexandria: crystalline Li2HfAg at its relaxed geometry (PBE-GGA).

Space group: R-3m (166)

Cell: 2.9267 2.9267 10.3546 Å, 81.88 81.88 60.00°
Last column: nearest neighbours and their distance in Å.
Fractional coordinates of all 4 atoms:
Li: 0.0937 0.0937 0.7188  3 Ag 2.80, 1 Hf 2.87, 6 Li 2.93
Hf: 0.0000 0.0000 0.0000  2 Li 2.87, 6 Hf 2.93
Ag: 0.5000 0.5000 0.5000  6 Li 2.80, 6 Ag 2.93
Li: 0.9063 0.9063 0.2812  3 Ag 2.80, 1 Hf 2.87, 6 Li 2.93


Version x
Entry from Alexandria: crystalline Li2HfAg at its relaxed geometry (PBE-GGA).

Space group: Fm-3m (225)

Cell: 4.5240 4.5240 4.5240 Å, 60.00 60.00 60.00°
Last column: nearest neighbours and their distance in Å.
Fractional coordinates of all 4 atoms:
Hf: 0.5000 0.5000 0.5000  8 Li 2.77
Li: 0.7500 0.7500 0.7500  4 Hf 2.77, 4 Ag 2.77
Li: 0.2500 0.2500 0.2500  4 Hf 2.77, 4 Ag 2.77
Ag: 0.0000 0.0000 0.0000  8 Li 2.77


Stability summary: most stable version w, least stable version x.


Version w
Entry from Alexandria: crystalline HfMg2Ag2 at its relaxed geometry (PBE-GGA).

Space group: P4/mbm (127)

Cell: 8.1090 8.1090 2.9224 Å, 90.00 90.00 90.00°
Last column: nearest neighbours and their distance in Å.
Fractional coordinates of all 10 atoms:
Mg: 0.8722 0.6278 0.0000  6 Ag 2.73-2.85, 3 Mg 2.92-2.93
Hf: 0.0000 0.0000 0.0000  2 Hf 2.92, 4 Mg 3.19
Hf: 0.5000 0.5000 0.0000  2 Hf 2.92, 4 Mg 3.19
Mg: 0.3722 0.8722 0.0000  6 Ag 2.73-2.85, 3 Mg 2.92-2.93
Mg: 0.1278 0.3722 0.0000  6 Ag 2.73-2.85, 3 Mg 2.92-2.93
Ag: 0.8289 0.3289 0.5000  6 Mg 2.73-2.85, 2 Ag 2.92
Ag: 0.1711 0.6711 0.5000  6 Mg 2.73-2.85, 2 Ag 2.92
Ag: 0.6711 0.8289 0.5000  6 Mg 2.73-2.85, 2 Ag 2.92
Mg: 0.6278 0.1278 0.0000  6 Ag 2.73-2.85, 3 Mg 2.92-2.93
Ag: 0.3289 0.1711 0.5000  6 Mg 2.73-2.85, 2 Ag 2.92


Version x
Entry from Alexandria: crystalline HfMg2Ag2 at its relaxed geometry (PBE-GGA).

Space group: P4/mbm (127)

Cell: 8.0347 8.0347 3.0285 Å, 90.00 90.00 90.00°
Last column: nearest neighbours and their distance in Å.
Fractional coordinates of all 10 atoms:
Mg: 0.3376 0.1624 0.5000  6 Ag 2.75-2.84, 2 Mg 3.03
Mg: 0.6624 0.8376 0.5000  6 Ag 2.75-2.84, 2 Mg 3.03
Hf: 0.0000 0.0000 0.0000  2 Hf 3.03, 4 Ag 3.13, 8 Mg 3.37
Mg: 0.8376 0.3376 0.5000  6 Ag 2.75-2.84, 2 Mg 3.03
Mg: 0.1624 0.6624 0.5000  6 Ag 2.75-2.84, 2 Mg 3.03
Ag: 0.1351 0.3649 0.0000  6 Mg 2.75-2.84, 3 Ag 3.03-3.07
Hf: 0.5000 0.5000 0.0000  2 Hf 3.03, 4 Ag 3.13, 8 Mg 3.37
Ag: 0.8649 0.6351 0.0000  6 Mg 2.75-2.84, 3 Ag 3.03-3.07
Ag: 0.3649 0.8649 0.0000  6 Mg 2.75-2.84, 3 Ag 3.03-3.07
Ag: 0.6351 0.1351 0.0000  6 Mg 2.75-2.84, 3 Ag 3.03-3.07


Stability summary: most stable version x, least stable version w.